A plane-wave DFT calculation with PBE was carried out for an optimized crystal structure of Pm2Sn4Pd3.

a b c (Å): 6.246 15.897 8.070
angles (deg): 90.00 90.00 90.00
Space group Cmce (No. 64)
Asymmetric unit:
Pm1 0.000 0.110 0.093 [8 per cell]
Sn1 0.000 0.181 0.476 [8 per cell]
Sn2 0.250 0.058 0.750 [8 per cell]
Pd1 0.000 0.000 0.500 [4 per cell]
Pd2 0.250 0.230 0.750 [8 per cell]

Computed properties:
Density = 8986 kg/m3
DFT total energy = -47.86 eV/f.u.

A plane-wave DFT calculation with PBE was carried out for an optimized crystal structure of LaScTe2N.

a b c (Å): 6.200 6.200 4.066
angles (deg): 90.00 90.00 90.00
Space group P4/mmm (No. 123)
Asymmetric unit:
La1 0.000 0.000 0.000 [1 per cell]
Sc1 0.500 0.500 0.500 [1 per cell]
Te1 0.000 0.500 0.000 [2 per cell]
N1 0.000 0.000 0.500 [1 per cell]

Computed properties:
Density = 4813 kg/m3
DFT total energy = -26.19 eV/f.u.
Formation energy from raw total energies = -0.065 eV/atom
Energy above the most stable polymorph in this dataset = 3.54 eV/f.u.

A plane-wave DFT calculation with PBE was carried out for an optimized crystal structure of Y4S5F.

a b c (Å): 14.783 3.968 10.319
angles (deg): 90.00 108.61 90.00
Space group C2/m (No. 12)
Asymmetric unit:
Y1 0.005 0.000 0.325 [4 per cell]
Y2 0.157 0.500 0.084 [4 per cell]
S1 0.000 0.500 0.500 [2 per cell]
S2 0.151 0.000 0.890 [4 per cell]
S3 0.161 0.000 0.262 [4 per cell]
F1 0.000 0.500 0.000 [2 per cell]

Computed properties:
Density = 3097 kg/m3
DFT total energy = -69.84 eV/f.u.
Formation energy from raw total energies = -2.147 eV/atom

A plane-wave DFT calculation with PBE was carried out for an optimized crystal structure of SnBiH.

a b c (Å): 7.714 7.179 7.449
angles (deg): 90.00 115.38 90.00
Space group P2_1/c (No. 14)
Asymmetric unit:
Sn1 0.002 0.250 0.001 [4 per cell]
Bi1 0.246 0.502 0.361 [4 per cell]
H1 0.480 0.549 0.993 [4 per cell]

Computed properties:
Density = 5858 kg/m3
DFT total energy = -10.98 eV/f.u.
Energy above the most stable polymorph in this dataset = 0.01 eV/f.u.

A plane-wave DFT calculation with PBE was carried out for an optimized crystal structure of ErGa2Ag.

a b c (Å): 6.795 6.795 6.795
angles (deg): 90.00 90.00 90.00
Space group Fm-3m (No. 225)
Asymmetric unit:
Er1 0.000 0.000 0.000 [4 per cell]
Ga1 0.250 0.250 0.250 [8 per cell]
Ag1 0.000 0.000 0.500 [4 per cell]

Computed properties:
Density = 8779 kg/m3
DFT total energy = -14.87 eV/f.u.

A plane-wave DFT calculation with PBE was carried out for an optimized crystal structure of CsRbHgPt.

a b c (Å): 8.380 8.380 8.380
angles (deg): 90.00 90.00 90.00
Space group F-43m (No. 216)
Asymmetric unit:
Cs1 0.000 0.000 0.000 [4 per cell]
Rb1 0.000 0.000 0.500 [4 per cell]
Hg1 0.250 0.250 0.750 [4 per cell]
Pt1 0.250 0.250 0.250 [4 per cell]

Computed properties:
Density = 6931 kg/m3
DFT total energy = -8.14 eV/f.u.
Energy above the most stable polymorph in this dataset = 0.66 eV/f.u.

A plane-wave DFT calculation with PBE was carried out for an optimized crystal structure of Tc5Mo.

a b c (Å): 5.0204 5.0204 4.4293
angles (deg): 90.00 90.00 120.00
Space group P6/mmm (No. 191)
Asymmetric unit:
Tc1 0.0000 0.5000 0.0000 [3 per cell]
Tc2 0.3333 0.6667 0.5000 [2 per cell]
Mo1 0.0000 0.0000 0.5000 [1 per cell]

Computed properties:
Density = 10064 kg/m3
DFT total energy = -59.80 eV/f.u.
Energy above the most stable polymorph in this dataset = 2.50 eV/f.u.

A plane-wave DFT calculation with PBE was carried out for an optimized crystal structure of Tb2SmPaAs4.

a b c (Å): 7.153 4.147 7.174
angles (deg): 90.00 109.47 90.00
Space group P2/m (No. 10)
Asymmetric unit:
Tb1 0.000 0.000 0.000 [1 per cell]
Tb2 0.000 0.500 0.500 [1 per cell]
Sm1 0.500 0.000 0.500 [1 per cell]
Pa1 0.500 0.500 0.000 [1 per cell]
As1 0.250 0.500 0.243 [2 per cell]
As2 0.252 0.000 0.755 [2 per cell]

Computed properties:
Density = 8267 kg/m3
DFT total energy = -53.43 eV/f.u.

Question: What is the density in the fourth record?
Answer: 5858 kg/m3